An optimized crystal structure of Ho2Ge4Mo3, computed with PBE-GGA.

Lattice parameters (Å, degrees): 6.9813 7.0408 6.8963 90.00 109.34 90.00
Last column: nearest neighbours and their distance in Å.
Space group P2_1/c (No. 14)
One atom of each set of equivalent atoms:
Ho: 0.1903 0.1712 0.0563 (multiplicity 4)  7 Ge 2.85-3.02
Ge: 0.0911 0.5458 0.8585 (multiplicity 4)  4 Mo 2.58-2.71, 1 Ge 2.74, 1 Ho 2.85
Ge: 0.4968 0.6369 0.6327 (multiplicity 4)  5 Mo 2.57-2.72, 1 Ge 2.67, 1 Ho 2.85
Mo: 0.2485 0.6589 0.2478 (multiplicity 4)  6 Ge 2.57-2.69
Mo: 0.5000 0.0000 0.5000 (multiplicity 2)  6 Ge 2.70-2.72

- Size of the total moment: 0.00 μB/atom
- V: 17.77 Å³ per atom
- Raw total energy: -0.5304 Ry per atom



An optimized crystal structure of RbGdSO, computed with PBE-GGA.

Lattice parameters (Å, degrees): 4.4486 8.3223 6.6300 90.00 90.00 90.00
Last column: nearest neighbours and their distance in Å.
Space group Pmc2_1 (No. 26)
One atom of each set of equivalent atoms:
Rb: 0.0000 0.1914 0.0000 (multiplicity 2)  2 O 3.00, 2 S 3.25-3.29
Gd: 0.5000 0.3731 0.4374 (multiplicity 2)  2 O 2.14
S: 0.0000 0.2039 0.5101 (multiplicity 2)  2 Gd 2.68
O: 0.5000 0.4148 0.1186 (multiplicity 2)  2 Gd 2.14

- Size of the total moment: 0.00 μB/atom
- V: 30.68 Å³ per atom
- Energy above the most stable polymorph in this dataset: 84 meV per atom
- Raw total energy: -0.4302 Ry per atom



An optimized crystal structure of LuFeCo2, computed with PBE-GGA.

Lattice parameters (Å, degrees): 6.0539 6.0539 6.0539 90.00 90.00 90.00
Last column: nearest neighbours and their distance in Å.
Space group F-43m (No. 216)
One atom of each set of equivalent atoms:
Lu: 0.0000 0.0000 0.0000 (multiplicity 4)  4 Fe 2.62, 4 Co 2.62
Fe: 0.2500 0.2500 0.2500 (multiplicity 4)  4 Co 2.62, 4 Lu 2.62
Co: 0.0000 0.0000 0.5000 (multiplicity 4)  4 Fe 2.62, 4 Co 2.62
Co: 0.2500 0.2500 0.7500 (multiplicity 4)  4 Co 2.62, 4 Lu 2.62

- Size of the total moment: 1.14 μB/atom
- V: 13.87 Å³ per atom
- Energy above the most stable polymorph in this dataset: 344 meV per atom
- Raw total energy: -0.4891 Ry per atom